1.
The following is a PBE calculation of a relaxed structure of TmMgSc2, from Alexandria via LeMat-Bulk.

The structure belongs to space group P4/mmm (No. 123); the cell edges are 4.648, 4.648 and 4.719 Å and the angles 90.00°, 90.00° and 90.00°. The asymmetric unit holds Tm at (0.000, 0.000, 0.000), Mg at (0.500, 0.500, 0.000) and Sc at (0.000, 0.500, 0.500).

The calculation puts the energy relative to the lowest polymorph listed for this composition at 0.0448 eV per atom. Its energy of formation from the pure elements is 0.05 eV/atom.


2.
The following is a PBE calculation of a relaxed structure of RbPdPb3Au, from Alexandria via LeMat-Bulk.

The structure belongs to space group Cmcm (No. 63); the cell edges are 7.776, 13.795 and 6.973 Å and the angles 90.00°, 90.00° and 90.00°. The asymmetric unit holds Rb at (0.000, 0.209, 0.250), Pd at (0.000, 0.432, 0.250), Pb at (0.000, 0.349, 0.750), Pb at (0.239, 0.000, 0.000) and Au at (0.000, 0.127, 0.750).

Its energy of formation from the pure elements is -0.04 eV/atom.


3.
The following is a PBE calculation of a relaxed structure of Al2Ga, from Alexandria via LeMat-Bulk.

The structure belongs to space group Fd-3m (No. 227, origin choice 2); the cell edges are 7.665, 7.665 and 7.665 Å and the angles 90.00°, 90.00° and 90.00°. The asymmetric unit holds Al at (0.000, 0.000, 0.000) and Ga at (0.125, 0.125, 0.625).

Its energy of formation from the pure elements is 0.15 eV/atom.


4.
The following is a PBE calculation of a relaxed structure of K3ErTh2Te6, from Alexandria via LeMat-Bulk.

The structure belongs to space group C2/m (No. 12); the cell edges are 7.744, 13.409 and 8.789 Å and the angles 90.00°, 107.09° and 90.00°. The asymmetric unit holds K at (0.000, 0.000, 0.000), K at (0.000, 0.331, 0.000), Er at (0.000, 0.500, 0.500), Th at (0.000, 0.166, 0.500), Te at (0.235, 0.337, 0.716) and Te at (0.247, 0.000, 0.717).

The calculation puts the total energy at -4.694 eV per atom.